No. 1
A plane-wave DFT calculation with GGA-PBE was carried out for Li3Ac4Tl4 after structural relaxation.

The crystal system is orthorhombic. The final energy comes out at -2.98 eV/atom.

The structure belongs to space group Immm (No. 71); the cell edges are 3.9384, 10.8527 and 16.8965 Å and the angles 90.00°, 90.00° and 90.00°. The distinct sites, in fractional coordinates, are Li at (0.0000, 0.0000, 0.0000), Li at (0.0000, 0.5000, 0.0967), Ac at (0.0000, 0.3264, 0.3415), Tl at (0.0000, 0.0000, 0.2867) and Tl at (0.0000, 0.1447, 0.5000).

---

No. 2
A plane-wave DFT calculation with GGA-PBE was carried out for Li2AcTl after structural relaxation.

The crystal system is orthorhombic. The final energy comes out at -2.78 eV/atom. Its excess energy over the best structure of this formula in the dataset is 0.007 eV/atom.

The structure belongs to space group Cmcm (No. 63); the cell edges are 5.2146, 11.4072 and 7.1655 Å and the angles 90.00°, 90.00° and 90.00°. The distinct sites, in fractional coordinates, are Li at (0.0000, 0.1291, 0.0580), Ac at (0.0000, 0.4055, 0.2500) and Tl at (0.0000, 0.3003, 0.7500).

---

No. 3
A plane-wave DFT calculation with GGA-PBE was carried out for LiAc3Tl after structural relaxation.

The crystal system is orthorhombic. The final energy comes out at -3.45 eV/atom.

The structure belongs to space group Cmcm (No. 63); the cell edges are 5.7117, 22.3190 and 5.7182 Å and the angles 90.00°, 90.00° and 90.00°. The distinct sites, in fractional coordinates, are Li at (0.0000, 0.1536, 0.2500), Ac at (0.0000, 0.0611, 0.7500), Ac at (0.0000, 0.2503, 0.7500), Ac at (0.0000, 0.4364, 0.7500) and Tl at (0.0000, 0.3433, 0.2500).

---

No. 4
A plane-wave DFT calculation with GGA-PBE was carried out for Li5AcTl3 after structural relaxation.

The crystal system is orthorhombic. The final energy comes out at -2.52 eV/atom.

The structure belongs to space group Cmcm (No. 63); the cell edges are 4.8117, 13.0255 and 13.6319 Å and the angles 90.00°, 90.00° and 90.00°. The distinct sites, in fractional coordinates, are Li at (0.0000, 0.0000, 0.0000), Li at (0.0000, 0.1981, 0.0276), Li at (0.0000, 0.3820, 0.6421), Ac at (0.0000, 0.0969, 0.7500), Tl at (0.0000, 0.1932, 0.2500) and Tl at (0.0000, 0.4023, 0.0728).